Entry from Alexandria via LeMat-Bulk: an optimized crystal structure of Ba7Mg2Hg2 (PBE-GGA).

a = 8.150 Å, b = 8.688 Å, c = 8.150 Å
α = 90.00°, β = 108.87°, γ = 90.00°
Fractional positions:
Ba  0.500  0.270  0.000
Ba  0.500  0.251  0.500
Ba  0.500  0.749  0.500
Ba  0.500  0.730  0.000
Ba  0.000  0.270  0.500
Ba  0.000  0.000  0.000
Ba  0.000  0.730  0.500
Hg  0.289  0.000  0.711
Hg  0.711  0.000  0.289
Mg  0.839  0.500  0.839
Mg  0.161  0.500  0.161

Results
* space group: Cmmm
* electronic total energy: -1.660 eV per atom